Entry 1:
The following is a DFT calculation (PBE-GGA) of crystalline PmNdAgBi at its relaxed geometry.

Unit cell a=5.4328 b=5.4328 c=5.4328 alpha=60.00 beta=60.00 gamma=60.00
Atoms (fractional coordinates):
Pm1 0.0000 0.0000 0.0000
Nd1 0.5000 0.5000 0.5000
Ag1 0.2500 0.2500 0.2500
Bi1 0.7500 0.7500 0.7500

VASP energy (eV/cell): -18.2
Space group: No. 216
Fermi-level density of states (states/eV/cell): 3.5



Entry 2:
The following is a DFT calculation (PBE-GGA) of crystalline TaBe2Tl at its relaxed geometry.

Unit cell a=2.9479 b=3.8216 c=5.4509 alpha=90.00 beta=90.00 gamma=90.00
Atoms (fractional coordinates):
Ta1 0.0000 0.0000 0.0000
Be1 0.5000 0.5000 0.1892
Be2 0.5000 0.5000 0.8108
Tl1 0.5000 0.0000 0.5000

VASP energy (eV/cell): -20.2
Space group: No. 47
Fermi-level density of states (states/eV/cell): 1.6



Entry 3:
The following is a DFT calculation (PBE-GGA) of crystalline MnGaSe4 at its relaxed geometry.

Unit cell a=5.5251 b=3.6026 c=6.5074 alpha=90.00 beta=94.08 gamma=90.00
Atoms (fractional coordinates):
Mn1 0.0000 0.0000 0.0000
Ga1 0.0000 0.5000 0.5000
Se1 0.2507 0.5000 0.1712
Se2 0.2543 0.0000 0.7025
Se3 0.7457 0.0000 0.2975
Se4 0.7493 0.5000 0.8288

VASP energy (eV/cell): -28.2
Space group: No. 10
Energy relative to the elements, uncorrected (eV per atom): -0.35
Fermi-level density of states (states/eV/cell): 3.0



Entry 4:
The following is a DFT calculation (PBE-GGA) of crystalline RbInSe at its relaxed geometry.

Unit cell a=7.9576 b=4.2259 c=13.5741 alpha=90.00 beta=90.00 gamma=90.00
Atoms (fractional coordinates):
Rb1 0.1370 0.2500 0.1681
Rb2 0.3630 0.7500 0.6681
Rb3 0.6370 0.2500 0.3319
Rb4 0.8630 0.7500 0.8319
In1 0.1877 0.2500 0.4473
In2 0.3123 0.7500 0.9473
In3 0.6877 0.2500 0.0527
In4 0.8123 0.7500 0.5527
Se1 0.0153 0.2500 0.6380
Se2 0.4847 0.7500 0.1380
Se3 0.5153 0.2500 0.8620
Se4 0.9847 0.7500 0.3620

VASP energy (eV/cell): -37.4
Space group: No. 62
Energy relative to the elements, uncorrected (eV per atom): -0.72



Entry 5:
The following is a DFT calculation (PBE-GGA) of crystalline TlPdF3 at its relaxed geometry.

Unit cell a=8.0316 b=8.0316 c=5.7972 alpha=101.24 beta=101.24 gamma=81.75
Atoms (fractional coordinates):
Tl1 0.1118 0.8882 0.7500
Tl2 0.2920 0.7080 0.2500
Tl3 0.7080 0.2920 0.7500
Tl4 0.8882 0.1118 0.2500
Pd1 0.1846 0.4144 0.9420
Pd2 0.4144 0.1846 0.4420
Pd3 0.5856 0.8154 0.5580
Pd4 0.8154 0.5856 0.0580
F1 0.0204 0.1976 0.7194
F2 0.0358 0.4346 0.2066
F3 0.1976 0.0204 0.2194
F4 0.3098 0.4017 0.6582
F5 0.4017 0.3098 0.1582
F6 0.4346 0.0358 0.7066
F7 0.5654 0.9642 0.2934
F8 0.5983 0.6902 0.8418
F9 0.6902 0.5983 0.3418
F10 0.8024 0.9796 0.7806
F11 0.9642 0.5654 0.7934
F12 0.9796 0.8024 0.2806

VASP energy (eV/cell): -79.0
Space group: No. 15
Energy relative to the elements, uncorrected (eV per atom): -1.31
Fermi-level density of states (states/eV/cell): 0.9